Compound: CaBiPdAu
Source: Alexandria
Functional: GGA-PBE
Structure: relaxed

Lattice parameters (Å, degrees): 5.0133 5.0133 5.0133 60.00 60.00 60.00
With the nearest neighbours (Å) after each atom.
Fractional positions:
Au  0.0000  0.0000  0.0000  4 Bi 3.07, 4 Ca 3.07
Pd  0.5000  0.5000  0.5000  4 Ca 3.07, 4 Bi 3.07
Ca  0.2500  0.2500  0.2500  4 Pd 3.07, 4 Au 3.07
Bi  0.7500  0.7500  0.7500  4 Pd 3.07, 4 Au 3.07

Mass density = 10.30 g cm⁻³
Energy = -4.132 eV/atom
Space group = F-43m (216)
E_form = -0.544 eV per atom
Total magnetization = 0.000 Bohr magnetons per cell

Compound: Ga3ReW
Source: Alexandria
Functional: GGA-PBE
Structure: relaxed

Lattice parameters (Å, degrees): 4.6985 4.6985 4.6985 90.00 90.00 90.00
With the nearest neighbours (Å) after each atom.
Fractional positions:
Ga  0.5000  0.0000  0.0000  2 Re 2.35
Ga  0.0000  0.5000  0.0000  2 Re 2.35
Ga  0.0000  0.0000  0.5000  2 Re 2.35
W  0.5000  0.5000  0.5000  12 Ga 3.32
Re  0.0000  0.0000  0.0000  6 Ga 2.35

Mass density = 9.27 g cm⁻³
Energy = -5.431 eV/atom
Energy above the lowest structure with this stoichiometry = 0 meV/atom
Space group = Pm-3m (221)
E_form = 1.465 eV per atom
Total magnetization = 0.000 Bohr magnetons per cell

Compound: YSiTc2
Source: Alexandria
Functional: GGA-PBE
Structure: relaxed

Lattice parameters (Å, degrees): 3.2452 3.2654 7.1985 63.07 90.00 90.00
With the nearest neighbours (Å) after each atom.
Fractional positions:
Y  0.5000  0.2500  0.2500  8 Tc 3.01-3.02, 2 Si 3.21, 4 Y 3.25-3.27
Tc  0.0000  0.4463  0.5535  1 Tc 2.52, 4 Si 2.62-2.63
Tc  0.0000  0.0537  0.9465  1 Tc 2.52, 4 Si 2.62-2.63
Si  0.5000  0.7500  0.7500  8 Tc 2.62-2.63

Mass density = 7.64 g cm⁻³
Energy = -8.273 eV/atom
Space group = Pmmm (47)
Total magnetization = 0.065 Bohr magnetons per cell
Uncorrected formation energy = -118 meV/atom

Compound: Pm5Y8Ho
Source: Alexandria
Functional: GGA-PBE
Structure: relaxed

Lattice parameters (Å, degrees): 8.5050 8.5050 8.5050 110.86 106.73 110.86
With the nearest neighbours (Å) after each atom.
Fractional positions:
Pm  0.8131  0.6761  0.7083  8 Y 3.38-3.58, 2 Pm 3.64
Pm  0.2917  0.1047  0.9678  8 Y 3.38-3.58, 2 Pm 3.64
Pm  0.8631  0.8953  0.1869  8 Y 3.38-3.58, 2 Pm 3.64
Pm  0.5000  0.0000  0.5000  8 Y 3.14-3.35
Pm  0.0322  0.3239  0.1369  8 Y 3.38-3.58, 2 Pm 3.64
Y  0.3368  0.2606  0.4297  3 Pm 3.14-3.45, 1 Ho 3.22
Y  0.5703  0.9071  0.8309  3 Pm 3.14-3.45, 1 Ho 3.22
Y  0.6663  0.3959  0.9191  5 Pm 3.35-3.56, 3 Y 3.66-3.69
Y  0.7296  0.2528  0.3337  5 Pm 3.35-3.56, 3 Y 3.66-3.69
Y  0.1691  0.7394  0.0762  3 Pm 3.14-3.45, 1 Ho 3.22
Y  0.0809  0.7472  0.4768  5 Pm 3.35-3.56, 3 Y 3.66-3.69
Y  0.9238  0.0929  0.6632  3 Pm 3.14-3.45, 1 Ho 3.22
Y  0.5232  0.6041  0.2704  5 Pm 3.35-3.56, 3 Y 3.66-3.69
Ho  0.2500  0.5000  0.7500  4 Y 3.22

Mass density = 5.62 g cm⁻³
Energy = -5.479 eV/atom
Space group = I-4 (82)
E_form = 0.238 eV per atom
Total magnetization = 0.000 Bohr magnetons per cell

Repeat the fourth record exactly.
Compound: Pm5Y8Ho
Source: Alexandria
Functional: GGA-PBE
Structure: relaxed

Lattice parameters (Å, degrees): 8.5050 8.5050 8.5050 110.86 106.73 110.86
With the nearest neighbours (Å) after each atom.
Fractional positions:
Pm  0.8131  0.6761  0.7083  8 Y 3.38-3.58, 2 Pm 3.64
Pm  0.2917  0.1047  0.9678  8 Y 3.38-3.58, 2 Pm 3.64
Pm  0.8631  0.8953  0.1869  8 Y 3.38-3.58, 2 Pm 3.64
Pm  0.5000  0.0000  0.5000  8 Y 3.14-3.35
Pm  0.0322  0.3239  0.1369  8 Y 3.38-3.58, 2 Pm 3.64
Y  0.3368  0.2606  0.4297  3 Pm 3.14-3.45, 1 Ho 3.22
Y  0.5703  0.9071  0.8309  3 Pm 3.14-3.45, 1 Ho 3.22
Y  0.6663  0.3959  0.9191  5 Pm 3.35-3.56, 3 Y 3.66-3.69
Y  0.7296  0.2528  0.3337  5 Pm 3.35-3.56, 3 Y 3.66-3.69
Y  0.1691  0.7394  0.0762  3 Pm 3.14-3.45, 1 Ho 3.22
Y  0.0809  0.7472  0.4768  5 Pm 3.35-3.56, 3 Y 3.66-3.69
Y  0.9238  0.0929  0.6632  3 Pm 3.14-3.45, 1 Ho 3.22
Y  0.5232  0.6041  0.2704  5 Pm 3.35-3.56, 3 Y 3.66-3.69
Ho  0.2500  0.5000  0.7500  4 Y 3.22

Mass density = 5.62 g cm⁻³
Energy = -5.479 eV/atom
Space group = I-4 (82)
E_form = 0.238 eV per atom
Total magnetization = 0.000 Bohr magnetons per cell